Computed, not measured: a geometry-optimized HoTm3Ru2 structure at the PBE-GGA level of DFT.

Properties
**Magnetization**: 0.00 μB/f.u.
**E above lowest polymorph**: 0.00 eV per formula unit
**Calculated volume**: 277 Å³/cell
**Total DFT energy (no corrections)**: -77.910 eV/cell
**ΔE_f**: -0.40 eV per atom
**Crystal system**: orthorhombic

a = 4.261 Å, b = 8.753 Å, c = 7.432 Å
α = 90.00°, β = 90.00°, γ = 90.00°
Space group Pmc2_1 (No. 26)
One atom of each set of equivalent atoms:
Ho: 0.000 0.083 0.000 (multiplicity 2)
Tm: 0.000 0.318 0.627 (multiplicity 2)
Tm: 0.500 0.184 0.332 (multiplicity 2)
Tm: 0.500 0.417 0.958 (multiplicity 2)
Ru: 0.000 0.369 0.235 (multiplicity 2)
Ru: 0.500 0.133 0.723 (multiplicity 2)

=====

Computed, not measured: a geometry-optimized Ho4TmRu structure at the PBE-GGA level of DFT.

Properties
**Magnetization**: 0.00 μB/f.u.
**Calculated volume**: 685 Å³/cell
**Total DFT energy (no corrections)**: -131.292 eV/cell
**ΔE_f**: -0.13 eV per atom
**Crystal system**: monoclinic

a = 16.657 Å, b = 7.352 Å, c = 5.994 Å
α = 90.00°, β = 111.07°, γ = 90.00°
Space group C2/m (No. 12)
One atom of each set of equivalent atoms:
Ho: 0.000 0.209 0.000 (multiplicity 4)
Ho: 0.114 0.248 0.614 (multiplicity 8)
Ho: 0.173 0.500 0.173 (multiplicity 4)
Tm: 0.200 0.000 0.199 (multiplicity 4)
Ru: 0.000 0.500 0.261 (multiplicity 4)

=====

Computed, not measured: a geometry-optimized HoTm4Ru2 structure at the PBE-GGA level of DFT.

Properties
**Magnetization**: 0.00 μB/f.u.
**Calculated volume**: 346 Å³/cell
**Total DFT energy (no corrections)**: -86.306 eV/cell
**ΔE_f**: -0.31 eV per atom
**Crystal system**: monoclinic

a = 7.671 Å, b = 6.229 Å, c = 7.839 Å
α = 90.00°, β = 112.51°, γ = 90.00°
Space group P2_1/m (No. 11)
One atom of each set of equivalent atoms:
Ho: 0.024 0.250 0.164 (multiplicity 2)
Tm: 0.242 0.501 0.584 (multiplicity 4)
Tm: 0.327 0.750 0.250 (multiplicity 2)
Tm: 0.380 0.250 0.020 (multiplicity 2)
Ru: 0.024 0.250 0.742 (multiplicity 2)
Ru: 0.415 0.250 0.376 (multiplicity 2)

=====

Computed, not measured: a geometry-optimized Ho3TmRu structure at the PBE-GGA level of DFT.

Properties
**Magnetization**: 0.00 μB/f.u.
**E above lowest polymorph**: 0.48 eV per formula unit
**Calculated volume**: 295 Å³/cell
**Total DFT energy (no corrections)**: -56.402 eV/cell
**ΔE_f**: -0.14 eV per atom
**Crystal system**: orthorhombic

a = 7.572 Å, b = 6.338 Å, c = 6.141 Å
α = 90.00°, β = 90.00°, γ = 90.00°
Space group Pmn2_1 (No. 31)
One atom of each set of equivalent atoms:
Ho: 0.000 0.156 0.000 (multiplicity 2)
Ho: 0.250 0.319 0.504 (multiplicity 4)
Tm: 0.000 0.843 0.508 (multiplicity 2)
Ru: 0.000 0.501 0.255 (multiplicity 2)